Record 1
Density functional theory data (PBE) for a relaxed structure of K2NdUSe6.

Cell and atoms, written as POSCAR:
```
K2NdUSe6
1.0
7.698 0.000 0.000
0.000 7.708 0.000
-7.680 0.000 11.180
K Nd U Se
4 2 2 12
Direct
0.249 0.009 0.250
0.249 0.491 0.750
0.751 0.509 0.250
0.751 0.991 0.750
0.500 0.000 0.000
0.500 0.500 0.500
0.000 0.000 0.500
0.000 0.500 0.000
0.176 0.204 0.995
0.176 0.296 0.495
0.248 0.002 0.740
0.248 0.498 0.240
0.293 0.680 0.996
0.293 0.820 0.496
0.707 0.180 0.504
0.707 0.320 0.004
0.752 0.502 0.760
0.752 0.998 0.260
0.824 0.704 0.505
0.824 0.796 0.005
```

Volume (Å³/cell): 663.3
DFT total energy (eV/atom): -5.107
Space group: P2_1/c, No. 14
DOS(E_F) (states/eV per cell): 16.02
Size of the total moment (μB/cell): 0.0


Record 2
Density functional theory data (PBE) for a relaxed structure of LiZr5TlF22.

Cell and atoms, written as POSCAR:
```
LiZr5TlF22
1.0
8.159 0.000 0.000
0.000 8.159 0.000
0.000 0.000 11.802
Li Zr Tl F
2 10 2 44
Direct
0.250 0.750 0.000
0.750 0.250 0.000
0.070 0.570 0.255
0.070 0.930 0.745
0.250 0.250 0.500
0.430 0.570 0.745
0.430 0.930 0.255
0.570 0.070 0.745
0.570 0.430 0.255
0.750 0.750 0.500
0.930 0.070 0.255
0.930 0.430 0.745
0.250 0.250 0.000
0.750 0.750 0.000
0.038 0.178 0.787
0.038 0.322 0.213
0.048 0.165 0.402
0.048 0.335 0.598
0.110 0.610 0.087
0.110 0.890 0.913
0.165 0.048 0.598
0.165 0.452 0.402
0.178 0.038 0.213
0.178 0.462 0.787
0.250 0.750 0.297
0.250 0.750 0.703
0.322 0.038 0.787
0.322 0.462 0.213
0.335 0.048 0.402
0.335 0.452 0.598
0.390 0.610 0.913
0.390 0.890 0.087
0.452 0.165 0.598
0.452 0.335 0.402
0.462 0.178 0.213
0.462 0.322 0.787
0.538 0.678 0.213
0.538 0.822 0.787
0.548 0.665 0.598
0.548 0.835 0.402
0.610 0.110 0.913
0.610 0.390 0.087
0.665 0.548 0.402
0.665 0.952 0.598
0.678 0.538 0.787
0.678 0.962 0.213
0.750 0.250 0.297
0.750 0.250 0.703
0.822 0.538 0.213
0.822 0.962 0.787
0.835 0.548 0.598
0.835 0.952 0.402
0.890 0.110 0.087
0.890 0.390 0.913
0.952 0.665 0.402
0.952 0.835 0.598
0.962 0.678 0.787
0.962 0.822 0.213
```

Volume (Å³/cell): 785.7
DFT total energy (eV/atom): -6.559
Space group: P4/nbm, No. 125
DOS(E_F) (states/eV per cell): 0.00
Size of the total moment (μB/cell): 0.0


Record 3
Density functional theory data (PBE) for a relaxed structure of Mn3IrBr.

Cell and atoms, written as POSCAR:
```
Mn3IrBr
1.0
4.926 0.000 0.000
0.000 4.926 0.000
0.000 0.000 4.926
Mn Ir Br
3 1 1
Direct
0.000 0.000 0.500
0.000 0.500 0.000
0.500 0.000 0.000
0.000 0.000 0.000
0.500 0.500 0.500
```

Volume (Å³/cell): 119.6
DFT total energy (eV/atom): -6.863
Space group: Pm-3m, No. 221
DOS(E_F) (states/eV per cell): 4.26
Size of the total moment (μB/cell): 13.5


Record 4
Density functional theory data (PBE) for a relaxed structure of CuAgS3.

Cell and atoms, written as POSCAR:
```
CuAgS3
1.0
4.551 0.000 0.000
0.000 4.551 0.000
0.000 0.000 4.551
Cu Ag S
1 1 3
Direct
0.000 0.000 0.000
0.500 0.500 0.500
0.000 0.000 0.500
0.000 0.500 0.000
0.500 0.000 0.000
```

Volume (Å³/cell): 94.3
DFT total energy (eV/atom): -3.246
Space group: Pm-3m, No. 221
DOS(E_F) (states/eV per cell): 5.31
Size of the total moment (μB/cell): 0.0


Record 5
Density functional theory data (PBE) for a relaxed structure of Li2FeCu.

Cell and atoms, written as POSCAR:
```
Li2FeCu
1.0
4.499 -1.242 0.000
4.499 1.242 0.000
-0.626 0.000 4.533
Li Fe Cu
2 1 1
Direct
0.247 0.247 0.250
0.753 0.753 0.750
0.000 0.000 0.500
0.500 0.500 0.000
```

Volume (Å³/cell): 50.7
Energy relative to the elements (eV/atom): 0.168
DFT total energy (eV/atom): -3.929
Space group: C2/m, No. 12
DOS(E_F) (states/eV per cell): 2.73
Size of the total moment (μB/cell): 2.3


Record 6
Density functional theory data (PBE) for a relaxed structure of Dy8RuPt2.

Cell and atoms, written as POSCAR:
```
Dy8RuPt2
1.0
4.168 -6.352 0.000
4.168 6.352 0.000
-1.987 0.000 5.600
Dy Ru Pt
8 1 2
Direct
0.000 0.000 0.000
0.023 0.276 0.588
0.146 0.569 0.179
0.276 0.023 0.588
0.436 0.688 0.789
0.569 0.146 0.179
0.688 0.436 0.789
0.711 0.711 0.355
0.356 0.356 0.037
0.042 0.664 0.678
0.664 0.042 0.678
```

Volume (Å³/cell): 296.5
Energy relative to the elements (eV/atom): -0.493
DFT total energy (eV/atom): -5.781
Space group: Cm, No. 8
DOS(E_F) (states/eV per cell): 11.55
Size of the total moment (μB/cell): 0.0


Record 7
Density functional theory data (PBE) for a relaxed structure of AcLa.

Cell and atoms, written as POSCAR:
```
AcLa
1.0
-2.721 2.721 5.522
2.721 -2.721 5.522
2.721 2.721 -5.522
Ac La
2 2
Direct
0.375 0.625 0.750
0.625 0.375 0.250
0.125 0.875 0.250
0.875 0.125 0.750
```

Volume (Å³/cell): 163.6
Energy relative to the elements (eV/atom): 0.025
DFT total energy (eV/atom): -4.493
Space group: I4_1/amd, No. 141
DOS(E_F) (states/eV per cell): 8.70
Size of the total moment (μB/cell): 0.0


Record 8
Density functional theory data (PBE) for a relaxed structure of NaCaScZnSi4O12.

Cell and atoms, written as POSCAR:
```
NaCaScZnSi4O12
1.0
5.367 0.000 0.000
0.000 9.099 0.000
-2.529 0.000 9.555
Na Ca Sc Zn Si O
2 2 2 2 8 24
Direct
0.000 0.052 0.250
0.000 0.948 0.750
0.500 0.453 0.250
0.500 0.547 0.750
0.500 0.146 0.750
0.500 0.854 0.250
0.000 0.347 0.750
0.000 0.653 0.250
0.199 0.341 0.461
0.199 0.659 0.961
0.298 0.161 0.038
0.298 0.839 0.538
0.702 0.161 0.462
0.702 0.839 0.962
0.801 0.341 0.039
0.801 0.659 0.539
0.092 0.266 0.099
0.092 0.734 0.599
0.209 0.499 0.388
0.209 0.501 0.888
0.224 0.166 0.867
0.224 0.834 0.367
0.284 0.335 0.632
0.284 0.665 0.132
0.300 0.003 0.111
0.300 0.997 0.611
0.414 0.242 0.400
0.414 0.758 0.900
0.586 0.242 0.100
0.586 0.758 0.600
0.700 0.003 0.389
0.700 0.997 0.889
0.716 0.335 0.868
0.716 0.665 0.368
0.776 0.166 0.633
0.776 0.834 0.133
0.791 0.499 0.112
0.791 0.501 0.612
0.908 0.266 0.401
0.908 0.734 0.901
```

Volume (Å³/cell): 466.6
DFT total energy (eV/atom): -7.363
Space group: P2/c, No. 13
DOS(E_F) (states/eV per cell): 0.00
Size of the total moment (μB/cell): 0.0


Record 9
Density functional theory data (PBE) for a relaxed structure of AcSm2Ga3.

Cell and atoms, written as POSCAR:
```
AcSm2Ga3
1.0
3.733 0.000 0.000
0.000 3.733 0.000
0.000 0.000 11.258
Ac Sm Ga
1 2 3
Direct
0.000 0.000 0.000
0.000 0.000 0.341
0.000 0.000 0.659
0.500 0.500 0.188
0.500 0.500 0.500
0.500 0.500 0.812
```

Volume (Å³/cell): 156.9
Energy relative to the elements (eV/atom): -0.518
DFT total energy (eV/atom): -4.290
Space group: P4/mmm, No. 123
DOS(E_F) (states/eV per cell): 3.36
Size of the total moment (μB/cell): 0.0


Record 10
Density functional theory data (PBE) for a relaxed structure of Ho5Mg4Ag.

Cell and atoms, written as POSCAR:
```
Ho5Mg4Ag
1.0
3.741 0.000 0.000
0.000 3.741 0.000
0.000 0.000 18.681
Ho Mg Ag
5 4 1
Direct
0.000 0.000 0.000
0.000 0.000 0.205
0.000 0.000 0.407
0.000 0.000 0.593
0.000 0.000 0.795
0.500 0.500 0.102
0.500 0.500 0.304
0.500 0.500 0.696
0.500 0.500 0.898
0.500 0.500 0.500
```

Volume (Å³/cell): 261.5
Energy relative to the elements (eV/atom): -0.119
DFT total energy (eV/atom): -3.331
Space group: P4/mmm, No. 123
DOS(E_F) (states/eV per cell): 11.70
Size of the total moment (μB/cell): 0.0


Record 11
Density functional theory data (PBE) for a relaxed structure of AgSe2S2.

Cell and atoms, written as POSCAR:
```
AgSe2S2
1.0
7.463 0.000 0.000
0.000 7.463 0.000
0.000 0.000 4.264
Ag Se S
2 4 4
Direct
0.000 0.000 0.000
0.500 0.500 0.000
0.165 0.335 0.500
0.335 0.835 0.500
0.665 0.165 0.500
0.835 0.665 0.500
0.237 0.737 0.000
0.263 0.237 0.000
0.737 0.763 0.000
0.763 0.263 0.000
```

Volume (Å³/cell): 237.5
DFT total energy (eV/atom): -3.288
Space group: P4/mbm, No. 127
DOS(E_F) (states/eV per cell): 8.10
Size of the total moment (μB/cell): 0.0


Record 12
Density functional theory data (PBE) for a relaxed structure of Ca2YTe.

Cell and atoms, written as POSCAR:
```
Ca2YTe
1.0
3.876 0.000 0.000
0.000 3.876 0.000
0.000 0.000 9.004
Ca Y Te
2 1 1
Direct
0.000 0.000 0.203
0.000 0.000 0.797
0.500 0.500 0.500
0.500 0.500 0.000
```

Volume (Å³/cell): 135.3
DFT total energy (eV/atom): -3.984
Space group: P4/mmm, No. 123
DOS(E_F) (states/eV per cell): 3.72
Size of the total moment (μB/cell): 0.4


- What is the DFT total energy in the seventh record?
  -4.493 eV/atom